! SmTl2FeO6 PBE with a Hubbard U optimized geometry; values from VASP
&SYSTEM
  ibrav = 0, nat = 10, ntyp = 4
/
ATOMIC_SPECIES
O 16.00 O.upf
Tl 204.38 Tl.upf
Sm 150.36 Sm.upf
Fe 55.84 Fe.upf
CELL_PARAMETERS angstrom
-4.620 1.788 2.700
-3.664 -3.739 2.101
-0.277 -0.683 5.874
ATOMIC_POSITIONS angstrom
O -3.755 0.204 6.700
Tl -4.603 -1.313 4.782
Tl -0.493 -0.681 5.503
O -2.317 -1.893 5.848
Sm -6.860 -1.970 7.251
O -4.585 -3.428 4.076
O -6.642 -0.571 5.294
O -4.611 -2.292 7.178
O -3.468 0.071 3.453
Fe -2.670 -0.652 1.756
! Calculated volume = 136.3 Å³/f.u.
! Crystal system = trigonal
! Electronic total energy = -58.057 eV/f.u.